VASP calculation (GGA-PBE) on a relaxed structure of LiSmTh2.

a b c (Å): 3.4976 3.4976 11.7439
angles (deg): 81.44 81.44 60.00
Fractional positions:
Li1 0.6668 0.6668 0.9995
Sm1 0.4997 0.4997 0.5008
Th1 0.0804 0.0804 0.7587
Th2 0.2530 0.2530 0.2410

The calculation puts the calculated total energy at -5.21 eV per atom. The value obtained for the formation energy from the elements is 0.64 eV/f.u. The size of the total moment comes out at 0.0 μB/cell. As for the crystal system: trigonal. The calculation puts the density at 8418 kg/m3. The energy above the lowest structure with this stoichiometry is 0.0000 eV per atom.